Record 1
A relaxed NaMgZnO2 crystal. Source: Alexandria, functional PBE.

Summary:
The value obtained for the energy relative to the elements, uncorrected is -1.451 eV per atom.

abc: 5.764 6.561 5.820
angles: 66.30 90.00 90.00
Element x y z (fractional)
Na (0.766, 0.500, 0.250)
Mg (0.501, 0.000, 0.750)
Zn (0.000, 0.000, 0.500)
O (0.298, 0.130, 0.940)
Zn (0.000, 0.000, 0.000)
O (0.298, 0.870, 0.560)
Mg (0.499, 0.000, 0.250)
O (0.702, 0.130, 0.440)
O (0.702, 0.870, 0.060)
Na (0.234, 0.500, 0.750)



Record 2
A relaxed Pm4Nd3Y5 crystal. Source: Alexandria, functional PBE.

Summary:
The energy above the most stable polymorph in this dataset comes out at 0 meV per atom.

abc: 7.245 8.876 9.578
angles: 90.19 40.98 90.09
Element x y z (fractional)
Nd (0.417, 0.832, 0.333)
Pm (0.083, 0.168, 0.668)
Pm (0.917, 0.832, 0.332)
Nd (0.583, 0.168, 0.667)
Y (0.500, 0.500, 0.500)
Y (0.250, 0.500, 0.000)
Y (0.667, 0.832, 0.833)
Y (0.333, 0.168, 0.167)
Pm (0.831, 0.167, 0.169)
Y (0.750, 0.500, 0.000)
Nd (0.000, 0.500, 0.500)
Pm (0.169, 0.833, 0.831)



Record 3
A relaxed LaMg2S crystal. Source: Alexandria, functional PBE.

Summary:
The value obtained for the energy relative to the elements, uncorrected is -0.591 eV per atom.

abc: 8.562 8.562 6.704
angles: 50.31 50.31 90.00
Element x y z (fractional)
S (0.500, 0.500, 0.000)
Mg (0.375, 0.443, 0.750)
Mg (0.875, 0.807, 0.750)
S (0.250, 0.750, 0.500)
Mg (0.193, 0.625, 0.250)
La (0.000, 0.000, 0.000)
La (0.750, 0.250, 0.500)
Mg (0.557, 0.125, 0.250)



Record 4
A relaxed CeY2Bi3 crystal. Source: Alexandria, functional PBE.

abc: 6.402 9.047 13.574
angles: 90.00 90.00 90.00
Site moments in Bohr magnetons follow the coordinates.
Element x y z (fractional)
Ce (0.250, 0.373, 0.419)  0.78
Bi (0.751, 0.376, 0.750)  -0.02
Ce (0.250, 0.873, 0.081)  0.78
Bi (0.250, 0.121, 0.585)  -0.01
Bi (0.250, 0.629, 0.585)  -0.02
Y (0.750, 0.124, 0.584)  0.00
Y (0.250, 0.876, 0.416)  0.00
Bi (0.750, 0.871, 0.085)  -0.02
Bi (0.250, 0.129, 0.915)  -0.02
Bi (0.751, 0.876, 0.750)  -0.02
Y (0.251, 0.875, 0.752)  0.00
Y (0.250, 0.376, 0.084)  0.00
Bi (0.750, 0.879, 0.415)  -0.01
Bi (0.750, 0.379, 0.085)  -0.01
Y (0.251, 0.375, 0.748)  0.00
Y (0.749, 0.625, 0.252)  0.00
Bi (0.750, 0.371, 0.415)  -0.02
Bi (0.249, 0.124, 0.250)  -0.02
Ce (0.750, 0.127, 0.919)  0.78
Y (0.750, 0.624, 0.916)  0.00
Ce (0.750, 0.627, 0.581)  0.78
Bi (0.249, 0.624, 0.250)  -0.02
Bi (0.250, 0.621, 0.915)  -0.01
Y (0.749, 0.125, 0.248)  0.00



Record 5
A relaxed AcY3Th crystal. Source: Alexandria, functional PBE.

abc: 3.706 6.947 14.047
angles: 87.22 90.00 105.47
Element x y z (fractional)
Y (0.032, 0.064, 0.325)
Y (0.574, 0.148, 0.873)
Th (0.366, 0.731, 0.482)
Y (0.968, 0.936, 0.675)
Y (0.768, 0.536, 0.295)
Y (0.426, 0.852, 0.127)
Ac (0.840, 0.679, 0.913)
Ac (0.160, 0.321, 0.087)
Th (0.634, 0.269, 0.518)
Y (0.232, 0.464, 0.705)



Record 6
A relaxed Sr2ScIr crystal. Source: Alexandria, functional PBE.

Summary:
The energy above the most stable polymorph in this dataset comes out at 238 meV per atom.

abc: 11.194 11.194 8.298
angles: 47.59 47.59 90.00
Element x y z (fractional)
Sc (0.500, 0.500, 0.000)
Sr (0.375, 0.219, 0.750)
Sr (0.875, 0.031, 0.750)
Ir (0.750, 0.250, 0.500)
Sc (0.250, 0.750, 0.500)
Ir (0.000, 0.000, 0.000)
Sr (0.969, 0.625, 0.250)
Sr (0.781, 0.125, 0.250)



Record 7
A relaxed YCr3S crystal. Source: Alexandria, functional PBE.

Summary:
The value obtained for the energy relative to the elements, uncorrected is 0.156 eV per atom. The energy above the most stable polymorph in this dataset comes out at 0 meV per atom.

abc: 4.353 4.353 4.353
angles: 90.00 90.00 90.00
Site moments in Bohr magnetons follow the coordinates.
Element x y z (fractional)
S (0.000, 0.000, 0.000)  -0.10
Cr (0.000, 0.000, 0.500)  1.79
Cr (0.500, 0.000, 0.000)  1.57
Cr (0.000, 0.500, 0.000)  1.83
Y (0.500, 0.500, 0.500)  -0.08



Record 8
A relaxed KYOs2Rh crystal. Source: Alexandria, functional PBE.

abc: 4.726 4.648 4.726
angles: 90.00 90.00 90.00
Element x y z (fractional)
K (0.000, 0.000, 0.000)
Os (0.500, 0.000, 0.000)
Rh (0.000, 0.500, 0.000)
Y (0.500, 0.500, 0.500)
Os (0.000, 0.000, 0.500)



| no. | calculated total energy (eV/cell) |
| --- | --- |
| 1 | -42.72 |
| 2 | -65.46 |
| 3 | -29.21 |
| 4 | -142.62 |
| 5 | -61.36 |
| 6 | -37.37 |
| 7 | -38.68 |
| 8 | -25.29 |